Entry 1:
The following is a DFT calculation (PBE) of a relaxed structure of Be2AgAs.

It has space group Pmm2 (No. 25), with a = 2.813 Å, b = 3.362 Å, c = 6.119 Å, α = 90.00°, β = 90.00° and γ = 90.00°. The distinct sites, in fractional coordinates, are Be at (0.000, 0.000, 0.000), Be at (0.500, 0.500, 0.193), Ag at (0.000, 0.000, 0.394) and As at (0.500, 0.500, 0.813).

The energy of formation is 0.28 eV per atom. The value obtained for the density of states at the Fermi level is 1.40 states/eV/f.u. The crystal system is orthorhombic. The value obtained for the size of the total moment is 0.0 μB per formula unit.

---

Entry 2:
The following is a DFT calculation (PBE) of a relaxed structure of Li8Hg2Bi3.

It has space group R-3m (No. 166, hexagonal axes), with a = 5.7920 Å, b = 5.7920 Å, c = 29.6571 Å, α = 90.00°, β = 90.00° and γ = 120.00°. The distinct sites, in fractional coordinates, are Li at (0.0000, 0.0000, 0.2121), Li at (0.0093, 0.5047, 0.2808), Hg at (0.0000, 0.0000, 0.1230), Bi at (0.0000, 0.0000, 0.3039) and Bi at (0.0000, 0.0000, 0.5000).

The energy of formation is -0.30 eV per atom. The value obtained for the density of states at the Fermi level is 4.11 states/eV/f.u. The crystal system is trigonal. The value obtained for the size of the total moment is 0.0 μB per formula unit.

---

Entry 3:
The following is a DFT calculation (PBE) of a relaxed structure of SrH2WSe.

It has space group P4/mmm (No. 123), with a = 4.225 Å, b = 4.225 Å, c = 6.310 Å, α = 90.00°, β = 90.00° and γ = 90.00°. The distinct sites, in fractional coordinates, are Sr at (0.000, 0.000, 0.000), H at (0.000, 0.500, 0.500), W at (0.500, 0.500, 0.000) and Se at (0.000, 0.000, 0.500).

The total DFT energy (no corrections) is -3.53 eV/atom. The value obtained for the density of states at the Fermi level is 1.43 states/eV/f.u. The crystal system is tetragonal. The value obtained for the size of the total moment is 4.4 μB per formula unit.

---

Entry 4:
The following is a DFT calculation (PBE) of a relaxed structure of Sm2ScBi.

It has space group R-3m (No. 166, hexagonal axes), with a = 4.0940 Å, b = 4.0940 Å, c = 26.9820 Å, α = 90.00°, β = 90.00° and γ = 120.00°. The distinct sites, in fractional coordinates, are Sm at (0.0000, 0.0000, 0.2431), Sc at (0.0000, 0.0000, 0.0000) and Bi at (0.0000, 0.0000, 0.5000).

The energy of formation is -0.09 eV per atom. The value obtained for the density of states at the Fermi level is 3.40 states/eV/f.u. The crystal system is trigonal. The calculation puts the energy above the lowest structure with this stoichiometry at 1.168 eV per formula unit. The value obtained for the size of the total moment is 0.0 μB per formula unit.

---

Entry 5:
The following is a DFT calculation (PBE) of a relaxed structure of NaZnPb2.

It has space group I-42d (No. 122), with a = 4.699 Å, b = 4.699 Å, c = 21.017 Å, α = 90.00°, β = 90.00° and γ = 90.00°. The distinct sites, in fractional coordinates, are Na at (0.000, 0.000, 0.000), Zn at (0.000, 0.000, 0.500) and Pb at (0.237, 0.250, 0.625).

The energy of formation is 0.11 eV per atom. The value obtained for the density of states at the Fermi level is 1.77 states/eV/f.u. The crystal system is tetragonal. The value obtained for the size of the total moment is 0.0 μB per formula unit.